A geometry-optimized U3P4Ru4 structure. Source: Alexandria via LeMat-Bulk, functional PBE.

Geometry as POSCAR:
```
U3P4Ru4
1.0
8.210 0.000 0.000
0.000 1.977 5.677
0.000 -1.977 5.677
U P Ru
3 4 4
Direct
0.000 0.000 0.000 U
0.285 0.105 0.105 U
0.715 0.105 0.105 U
0.000 0.688 0.688 P
0.239 0.423 0.423 P
0.500 0.715 0.715 P
0.761 0.423 0.423 P
0.000 0.298 0.298 Ru
0.249 0.808 0.808 Ru
0.500 0.334 0.334 Ru
0.751 0.808 0.808 Ru
```

Energy relative to the elements: -725 kJ/mol of formula units
Space group: Amm2 (38)
Total moment: 4.66 Bohr magnetons per cell